A plane-wave DFT calculation with PBE was carried out for a relaxed structure of La4Te2I.

Cell and atoms, written as POSCAR:
```
La4Te2I
1.0
5.911 0.000 0.000
0.000 5.911 0.000
2.955 2.955 7.993
La Te I
4 2 1
Cartesian
5.911 5.911 3.093 La
0.000 2.955 0.000 La
2.955 0.000 0.000 La
2.955 2.955 4.900 La
2.955 2.955 1.818 Te
5.911 5.911 6.175 Te
0.000 0.000 0.000 I
```

Summary:
The space group is I4/mmm. The density of states at the Fermi level comes out at 6.7 states/eV/cell. For the raw formation energy, the calculation gives -0.634 eV per atom. The final energy comes out at -4.57 eV per atom.



A plane-wave DFT calculation with PBE was carried out for a relaxed structure of La5Te4I.

Cell and atoms, written as POSCAR:
```
La5Te4I
1.0
-1.515 4.076 -1.431
-4.291 -1.246 0.995
4.663 4.503 15.213
I La Te
1 5 4
Cartesian
0.000 0.000 0.000 I
1.061 3.569 9.041 La
-2.903 1.415 -0.218 La
0.358 1.205 3.053 La
-2.205 3.765 5.736 La
-1.502 6.129 11.725 La
-2.553 2.593 2.765 Te
0.708 2.380 6.031 Te
-1.851 4.953 8.746 Te
1.410 4.741 12.012 Te
```

Summary:
The space group is I4/mmm. The density of states at the Fermi level comes out at 8.7 states/eV/cell. For the raw formation energy, the calculation gives -1.462 eV per atom. The energy above the most stable polymorph in this dataset is 0.7 kJ/mol of atoms. The final energy comes out at -5.34 eV per atom.



A plane-wave DFT calculation with PBE was carried out for a relaxed structure of La2TeI.

Cell and atoms, written as POSCAR:
```
La2TeI
1.0
4.573 0.000 0.000
0.000 4.573 0.000
0.000 0.000 6.475
I La Te
1 2 1
Cartesian
0.000 0.000 0.000 I
0.000 0.000 3.237 La
2.286 2.286 0.000 La
2.286 2.286 3.237 Te
```

Summary:
The space group is P4/mmm. The density of states at the Fermi level comes out at 4.0 states/eV/cell. For the raw formation energy, the calculation gives -1.259 eV per atom. The energy above the most stable polymorph in this dataset is 1.8 kJ/mol of atoms. The final energy comes out at -4.90 eV per atom.



A plane-wave DFT calculation with PBE was carried out for a relaxed structure of La2TeI.

Cell and atoms, written as POSCAR:
```
La2TeI
1.0
4.338 0.000 0.000
2.169 3.757 0.000
2.169 1.252 8.417
Te I La
1 1 2
Cartesian
4.338 2.504 0.004 Te
4.338 2.504 4.212 I
2.169 1.252 1.944 La
2.169 1.252 6.466 La
```

Summary:
The space group is R3m. The density of states at the Fermi level comes out at 4.2 states/eV/cell. For the raw formation energy, the calculation gives -1.267 eV per atom. The energy above the most stable polymorph in this dataset is 1.1 kJ/mol of atoms. The final energy comes out at -4.90 eV per atom.



A plane-wave DFT calculation with PBE was carried out for a relaxed structure of La2TeI2.

Cell and atoms, written as POSCAR:
```
La2TeI2
1.0
11.798 0.049 0.029
10.904 4.507 0.029
10.904 2.188 3.940
La I Te
2 2 1
Cartesian
29.728 5.966 3.537 La
3.878 0.778 0.461 La
24.308 4.878 2.892 I
9.298 1.866 1.106 I
16.803 3.372 1.999 Te
```

Summary:
The space group is R-3m. The density of states at the Fermi level comes out at 2.0 states/eV/cell. For the raw formation energy, the calculation gives -1.524 eV per atom. The energy above the most stable polymorph in this dataset is 0.0 kJ/mol of atoms. The final energy comes out at -4.74 eV per atom.



A plane-wave DFT calculation with PBE was carried out for a relaxed structure of La2TeI3.

Cell and atoms, written as POSCAR:
```
La2TeI3
1.0
4.573 0.000 0.000
2.287 9.669 -0.361
2.287 2.143 11.429
I La Te
6 4 2
Cartesian
2.287 3.017 8.550 I
6.860 9.163 10.823 I
2.287 2.061 4.393 I
2.287 2.649 0.245 I
6.860 9.751 6.675 I
6.860 8.795 2.518 I
6.860 6.105 9.717 La
2.287 5.707 1.351 La
4.573 8.324 4.835 La
4.573 3.488 6.233 La
4.573 6.441 7.469 Te
4.573 5.371 3.599 Te
```

Summary:
The space group is C2/m. The density of states at the Fermi level comes out at 4.8 states/eV/cell. For the raw formation energy, the calculation gives -1.445 eV per atom. The energy above the most stable polymorph in this dataset is 1.8 kJ/mol of atoms. The final energy comes out at -4.39 eV per atom.